Run P
Material: SrTiCl3
Method: DFT, SCAN
State: single point on PBEsol structure

Properties
- Volume: 23.31 A^3/atom

a b c (Å): 4.8845 4.8845 4.8845
angles (deg): 90.00 90.00 90.00
With the nearest neighbours (Å) after each atom.
Space group Pm-3m (No. 221)
Symmetry-distinct sites (fractional):
Sr 0.0000 0.0000 0.0000 x1  12 Cl 3.45
Ti 0.5000 0.5000 0.5000 x1  6 Cl 2.44
Cl 0.0000 0.5000 0.5000 x3  2 Ti 2.44

---

Run Q
Material: SrTiCl3
Method: DFT, SCAN
State: single point on PBEsol structure

Properties
- Volume: 33.26 A^3/atom

a b c (Å): 5.4991 5.4991 5.4991
angles (deg): 90.00 90.00 90.00
With the nearest neighbours (Å) after each atom.
Space group Pm-3m (No. 221)
Symmetry-distinct sites (fractional):
Sr 0.0000 0.0000 0.0000 x1  6 Cl 2.75
Ti 0.5000 0.5000 0.5000 x1  12 Cl 3.89
Cl 0.0000 0.0000 0.5000 x3  2 Sr 2.75

---

Question: which arrangement is favored energetically? Ranking from most to least stable: run P, run Q.

---

Run P
Material: Sr2WCl
Method: DFT, SCAN
State: single point on PBEsol structure

Properties
- Volume: 28.77 A^3/atom

a b c (Å): 7.7209 7.7209 7.7209
angles (deg): 90.00 90.00 90.00
With the nearest neighbours (Å) after each atom.
Space group Fm-3m (No. 225)
Symmetry-distinct sites (fractional):
Sr 0.2500 0.2500 0.2500 x8  4 Cl 3.34, 4 W 3.34
W 0.0000 0.0000 0.0000 x4  8 Sr 3.34
Cl 0.0000 0.0000 0.5000 x4  8 Sr 3.34

---

Run Q
Material: Sr2WCl
Method: DFT, SCAN
State: single point on PBEsol structure

Properties
- Volume: 30.45 A^3/atom

a b c (Å): 4.3825 4.3825 12.6837
angles (deg): 90.00 90.00 90.00
With the nearest neighbours (Å) after each atom.
Space group I-4m2 (No. 119)
Symmetry-distinct sites (fractional):
Sr 0.0000 0.0000 0.0000 x2  4 W 3.10
Sr 0.0000 0.5000 0.2500 x2  4 Cl 3.10
W 0.0000 0.0000 0.5000 x2  4 Sr 3.10
Cl 0.0000 0.5000 0.7500 x2  4 Sr 3.10

---

Run R
Material: Sr2WCl
Method: DFT, SCAN
State: single point on PBEsol structure

Properties
- Volume: 25.12 A^3/atom

a b c (Å): 5.6662 5.6662 3.1302
angles (deg): 90.00 90.00 90.00
With the nearest neighbours (Å) after each atom.
Space group P4/mmm (No. 123)
Symmetry-distinct sites (fractional):
Sr 0.0000 0.5000 0.0000 x2  2 Sr 3.13, 4 Cl 3.24, 4 W 3.24
W 0.0000 0.0000 0.5000 x1  2 W 3.13, 8 Sr 3.24
Cl 0.5000 0.5000 0.5000 x1  2 Cl 3.13, 8 Sr 3.24

---

Question: which arrangement is favored energetically? Ranking from most to least stable: run R, run Q, run P.

---

Run P
Material: SrZnCl2
Method: DFT, SCAN
State: single point on PBEsol structure

Properties
- Volume: 35.14 A^3/atom

a b c (Å): 7.5502 4.3610 8.8844
angles (deg): 90.00 106.08 90.00
With the nearest neighbours (Å) after each atom.
Space group C2/m (No. 12)
Symmetry-distinct sites (fractional):
Sr 0.0000 0.0000 0.0000 x2  6 Cl 2.88
Zn 0.0000 0.5000 0.5000 x2  6 Cl 3.80-3.83
Cl 0.2197 0.5000 0.1631 x4  3 Sr 2.88

---

Run Q
Material: SrZnCl2
Method: DFT, SCAN
State: single point on PBEsol structure

Properties
- Volume: 29.77 A^3/atom

a b c (Å): 4.3726 4.3726 21.5769
angles (deg): 90.00 90.00 120.00
With the nearest neighbours (Å) after each atom.
Space group R3m (No. 160, hexagonal axes)
Symmetry-distinct sites (fractional):
Sr 0.0000 0.0000 0.0000 x3  3 Cl 2.84
Zn 0.0000 0.0000 0.2431 x3  3 Cl 2.70
Cl 0.0000 0.0000 0.5317 x3  3 Zn 2.70
Cl 0.0000 0.0000 0.7270 x3  3 Sr 2.84

---

Run R
Material: SrZnCl2
Method: DFT, SCAN
State: single point on PBEsol structure

Properties
- Volume: 23.62 A^3/atom

a b c (Å): 7.2298 7.2298 7.2298
angles (deg): 90.00 90.00 90.00
With the nearest neighbours (Å) after each atom.
Space group Fm-3m (No. 225)
Symmetry-distinct sites (fractional):
Sr 0.0000 0.0000 0.0000 x4  8 Cl 3.13
Zn 0.0000 0.0000 0.5000 x4  8 Cl 3.13
Cl 0.2500 0.2500 0.2500 x8  4 Sr 3.13, 4 Zn 3.13

---

Run S
Material: SrZnCl2
Method: DFT, SCAN
State: single point on PBEsol structure

Properties
- Volume: 27.71 A^3/atom

a b c (Å): 3.6277 3.6277 8.4221
angles (deg): 90.00 90.00 90.00
With the nearest neighbours (Å) after each atom.
Space group P4/mmm (No. 123)
Symmetry-distinct sites (fractional):
Sr 0.0000 0.0000 0.0000 x1  8 Cl 3.01
Zn 0.0000 0.0000 0.5000 x1  4 Zn 3.63, 8 Cl 3.68
Cl 0.5000 0.5000 0.1867 x2  4 Sr 3.01, 1 Cl 3.15

---

Question: which arrangement is favored energetically? Ranking from most to least stable: run P, run R, run S, run Q.

---

Run P
Material: SrZr2Cl
Method: DFT, SCAN
State: single point on PBEsol structure

Properties
- Volume: 23.62 A^3/atom

a b c (Å): 3.2701 3.2701 30.6047
angles (deg): 90.00 90.00 120.00
With the nearest neighbours (Å) after each atom.
Space group R-3m (No. 166, hexagonal axes)
Symmetry-distinct sites (fractional):
Sr 0.0000 0.0000 0.0000 x3  6 Sr 3.27, 6 Zr 3.57
Zr 0.0000 0.0000 0.2342 x6  3 Cl 2.80
Cl 0.0000 0.0000 0.5000 x3  6 Zr 2.80

---

Run Q
Material: SrZr2Cl
Method: DFT, SCAN
State: single point on PBEsol structure

Properties
- Volume: 24.82 A^3/atom

a b c (Å): 7.3505 7.3505 7.3505
angles (deg): 90.00 90.00 90.00
With the nearest neighbours (Å) after each atom.
Space group F-43m (No. 216)
Symmetry-distinct sites (fractional):
Sr 0.0000 0.0000 0.0000 x4  4 Cl 3.18, 4 Zr 3.18
Zr 0.0000 0.0000 0.5000 x4  4 Zr 3.18, 4 Cl 3.18
Zr 0.2500 0.2500 0.7500 x4  4 Zr 3.18, 4 Sr 3.18
Cl 0.2500 0.2500 0.2500 x4  4 Zr 3.18, 4 Sr 3.18

---

Question: which arrangement is favored energetically? Ranking from most to least stable: run P, run Q.

---

Run P
Material: TaTc2Cl
Method: DFT, SCAN
State: single point on PBEsol structure

Properties
- Volume: 14.70 A^3/atom

a b c (Å): 2.8969 2.8969 7.0079
angles (deg): 90.00 90.00 90.00
With the nearest neighbours (Å) after each atom.
Space group P4mm (No. 99)
Symmetry-distinct sites (fractional):
Ta 0.0000 0.0000 0.0000 x1  4 Cl 2.63, 4 Tc 2.82, 4 Ta 2.90
Tc 0.0000 0.0000 0.4987 x1  4 Tc 2.57, 4 Cl 2.77
Tc 0.5000 0.5000 0.2770 x1  4 Tc 2.57, 4 Ta 2.82
Cl 0.5000 0.5000 0.7642 x1  4 Ta 2.63, 4 Tc 2.77, 4 Cl 2.90

---

Run Q
Material: TaTc2Cl
Method: DFT, SCAN
State: single point on PBEsol structure

Properties
- Volume: 15.28 A^3/atom

a b c (Å): 4.9100 8.3469 2.9826
angles (deg): 90.00 90.00 90.00
With the nearest neighbours (Å) after each atom.
Space group Cmmm (No. 65)
Symmetry-distinct sites (fractional):
Ta 0.0000 0.0000 0.0000 x2  2 Cl 2.46
Tc 0.2500 0.2500 0.5000 x4  2 Tc 2.46
Cl 0.0000 0.5000 0.0000 x2  2 Ta 2.46

---

Run R
Material: TaTc2Cl
Method: DFT, SCAN
State: single point on PBEsol structure

Properties
- Volume: 15.64 A^3/atom

a b c (Å): 3.0935 4.8091 8.4094
angles (deg): 90.00 90.00 90.00
With the nearest neighbours (Å) after each atom.
Space group Cmmm (No. 65)
Symmetry-distinct sites (fractional):
Ta 0.0000 0.0000 0.0000 x2  4 Tc 2.58, 4 Ta 2.86
Tc 0.0000 0.5000 0.2458 x4  2 Ta 2.58, 2 Cl 2.64, 4 Tc 2.86
Cl 0.0000 0.0000 0.5000 x2  4 Tc 2.64, 4 Cl 2.86

---

Run S
Material: TaTc2Cl
Method: DFT, SCAN
State: single point on PBEsol structure

Properties
- Volume: 15.71 A^3/atom

a b c (Å): 2.9944 2.9944 24.2753
angles (deg): 90.00 90.00 120.00
With the nearest neighbours (Å) after each atom.
Space group R-3m (No. 166, hexagonal axes)
Symmetry-distinct sites (fractional):
Ta 0.0000 0.0000 0.0000 x3  6 Tc 2.64
Tc 0.0000 0.0000 0.2510 x6  3 Ta 2.64, 3 Cl 2.68
Cl 0.0000 0.0000 0.5000 x3  6 Tc 2.68, 6 Cl 2.99

---

Question: which arrangement is favored energetically? Ranking from most to least stable: run P, run S, run R, run Q.

---

Run P
Material: Ta2TcCl
Method: DFT, SCAN
State: single point on PBEsol structure

Properties
- Volume: 15.52 A^3/atom

a b c (Å): 2.9537 4.4875 9.3668
angles (deg): 90.00 90.00 90.00
With the nearest neighbours (Å) after each atom.
Space group Imm2 (No. 44)
Symmetry-distinct sites (fractional):
Ta 0.0000 0.0000 0.0000 x2  4 Cl 2.69, 2 Tc 2.86, 2 Ta 2.95
Ta 0.0000 0.5000 0.2163 x2  2 Cl 2.65, 4 Tc 2.72, 2 Ta 2.95
Tc 0.0000 0.5000 0.7618 x2  2 Cl 2.53, 4 Ta 2.72
Cl 0.0000 0.0000 0.4817 x2  2 Tc 2.53, 6 Ta 2.65-2.69

---

Run Q
Material: Ta2TcCl
Method: DFT, SCAN
State: single point on PBEsol structure

Properties
- Volume: 16.31 A^3/atom

a b c (Å): 3.0062 3.0062 7.2198
angles (deg): 90.00 90.00 90.00
With the nearest neighbours (Å) after each atom.
Space group P4/mmm (No. 123)
Symmetry-distinct sites (fractional):
Ta 0.0000 0.0000 0.2263 x2  4 Tc 2.68, 4 Cl 2.90
Tc 0.5000 0.5000 0.0000 x1  8 Ta 2.68
Cl 0.5000 0.5000 0.5000 x1  8 Ta 2.90, 4 Cl 3.01

---

Question: which arrangement is favored energetically? Ranking from most to least stable: run Q, run P.

---

Run P
Material: Ta2TeCl
Method: DFT, SCAN
State: single point on PBEsol structure

Properties
- Volume: 19.24 A^3/atom

a b c (Å): 6.7519 6.7519 6.7519
angles (deg): 90.00 90.00 90.00
With the nearest neighbours (Å) after each atom.
Space group F-43m (No. 216)
Symmetry-distinct sites (fractional):
Ta 0.0000 0.0000 0.0000 x4  4 Ta 2.92, 4 Te 2.92
Ta 0.2500 0.2500 0.2500 x4  4 Ta 2.92, 4 Cl 2.92
Te 0.2500 0.2500 0.7500 x4  4 Ta 2.92, 4 Cl 2.92
Cl 0.0000 0.0000 0.5000 x4  4 Ta 2.92, 4 Te 2.92

---

Run Q
Material: Ta2TeCl
Method: DFT, SCAN
State: single point on PBEsol structure

Properties
- Volume: 19.00 A^3/atom

a b c (Å): 2.9102 4.3094 6.0616
angles (deg): 90.00 90.00 90.00
With the nearest neighbours (Å) after each atom.
Space group Pmm2 (No. 25)
Symmetry-distinct sites (fractional):
Ta 0.0000 0.0000 0.0000 x1  4 Cl 2.74, 6 Ta 2.91-3.01, 2 Te 3.02-3.04
Ta 0.5000 0.5000 0.2509 x1  1 Cl 2.39
Te 0.0000 0.0000 0.5017 x1  2 Te 2.91, 6 Ta 3.01-3.04
Cl 0.5000 0.5000 0.8569 x1  1 Ta 2.39

---

Question: which arrangement is favored energetically? Ranking from most to least stable: run Q, run P.

---

Run P
Material: TaTeCl2
Method: DFT, SCAN
State: single point on PBEsol structure

Properties
- Volume: 22.23 A^3/atom

a b c (Å): 3.1146 3.1146 31.7542
angles (deg): 90.00 90.00 120.00
With the nearest neighbours (Å) after each atom.
Space group R-3m (No. 166, hexagonal axes)
Symmetry-distinct sites (fractional):
Ta 0.0000 0.0000 0.0000 x3  6 Cl 2.52
Te 0.0000 0.0000 0.5000 x3  6 Te 3.11
Cl 0.0000 0.0000 0.2778 x6  3 Ta 2.52

---

Run Q
Material: TaTeCl2
Method: DFT, SCAN
State: single point on PBEsol structure

Properties
- Volume: 21.32 A^3/atom

a b c (Å): 3.0118 3.0118 9.4032
angles (deg): 90.00 90.00 90.00
With the nearest neighbours (Å) after each atom.
Space group P4/mmm (No. 123)
Symmetry-distinct sites (fractional):
Ta 0.0000 0.0000 0.0000 x1  8 Cl 2.61
Te 0.0000 0.0000 0.5000 x1  4 Te 3.01
Cl 0.5000 0.5000 0.1602 x2  4 Ta 2.61

---

Run R
Material: TaTeCl2
Method: DFT, SCAN
State: single point on PBEsol structure

Properties
- Volume: 19.27 A^3/atom

a b c (Å): 4.9690 4.9690 3.1224
angles (deg): 90.00 90.00 90.00
With the nearest neighbours (Å) after each atom.
Space group P4/mmm (No. 123)
Symmetry-distinct sites (fractional):
Ta 0.0000 0.0000 0.0000 x1  8 Cl 2.93, 2 Ta 3.12
Te 0.5000 0.5000 0.0000 x1  8 Cl 2.93, 2 Te 3.12
Cl 0.0000 0.5000 0.5000 x2  4 Te 2.93, 4 Ta 2.93, 2 Cl 3.12

---

Run S
Material: TaTeCl2
Method: DFT, SCAN
State: single point on PBEsol structure

Properties
- Volume: 20.31 A^3/atom

a b c (Å): 3.1645 3.1645 8.1139
angles (deg): 90.00 90.00 90.00
With the nearest neighbours (Å) after each atom.
Space group P4mm (No. 99)
Symmetry-distinct sites (fractional):
Ta 0.0000 0.0000 0.0000 x1  4 Cl 2.69, 4 Te 2.90
Te 0.5000 0.5000 0.2277 x1  4 Ta 2.90, 4 Te 3.16, 4 Cl 3.19
Cl 0.0000 0.0000 0.5079 x1  8 Cl 3.16-3.35, 4 Te 3.19
Cl 0.5000 0.5000 0.8153 x1  4 Ta 2.69

---

Question: which arrangement is favored energetically? Ranking from most to least stable: run P, run Q, run S, run R.